First-principles (GGA+U) data for a relaxed structure of Mo2WSO, as listed in the Alexandria database. Values from VASP.

```
&SYSTEM
  ibrav = 0, nat = 5, ntyp = 4
/
ATOMIC_SPECIES
Mo 95.94 Mo.upf
W 183.84 W.upf
S 32.06 S.upf
O 16.00 O.upf
CELL_PARAMETERS angstrom
5.436 0.000 0.000
0.000 5.436 0.000
0.000 0.000 3.816
ATOMIC_POSITIONS crystal
Mo 0.000 0.500 0.000
Mo 0.500 0.000 0.000
W 0.000 0.000 0.000
S 0.500 0.500 0.500
O 0.000 0.000 0.500
```

Computed properties:
Calculated total energy in eV/atom: -5.3783